BaCr2AuO (PBE+U, optimized geometry); magnetization = 1.99 μB per atom; calculated total energy = -4.72 eV per atom; symmetry = P4/mmm (123)
1.0
-3.292 -2.492 -3.182
3.631 -1.737 -2.396
0.094 -4.150 3.152
Cr Au Ba O
2 1 1 1
Direct
0.000 0.000 0.500
0.500 0.000 0.000
0.000 0.000 0.000
0.500 0.500 0.500
0.000 0.500 0.000